A relaxed Ca3Ga4Hg2 crystal. Source: Alexandria via LeMat-Bulk, functional GGA-PBE.

As for the energy of formation from the pure elements: -47.0 kJ per mole of atoms. The value obtained for the total moment is 0.00 μB per cell.

The structure belongs to space group C2/m (No. 12); the cell edges are 10.985, 4.691 and 8.800 Å and the angles 90.00°, 113.59° and 90.00°. The inequivalent atoms are Ca at (0.000, 0.000, 0.000), Ca at (0.174, 0.500, 0.659), Ga at (0.018, 0.000, 0.361), Ga at (0.247, 0.000, 0.920) and Hg at (0.102, 0.500, 0.269).

***

A relaxed CaGa4Hg crystal. Source: Alexandria via LeMat-Bulk, functional GGA-PBE.

As for the energy of formation from the pure elements: -18.9 kJ per mole of atoms. The value obtained for the total moment is 0.00 μB per cell.

The structure belongs to space group F-43m (No. 216); the cell edges are 8.017, 8.017 and 8.017 Å and the angles 90.00°, 90.00° and 90.00°. The inequivalent atoms are Ca at (0.000, 0.000, 0.000), Ga at (0.125, 0.125, 0.375) and Hg at (0.250, 0.250, 0.750).

***

A relaxed Ca3GaHg5 crystal. Source: Alexandria via LeMat-Bulk, functional GGA-PBE.

As for the energy of formation from the pure elements: -40.2 kJ per mole of atoms. The value obtained for the total moment is 0.00 μB per cell.

The structure belongs to space group P6_3/mcm (No. 193); the cell edges are 9.2130, 9.2130 and 6.2672 Å and the angles 90.00°, 90.00° and 120.00°. The inequivalent atoms are Ca at (0.0000, 0.3660, 0.2500), Ga at (0.0000, 0.0000, 0.0000), Hg at (0.0000, 0.2887, 0.7500) and Hg at (0.3333, 0.6667, 0.0000).

***

A relaxed Ca2GaHg3 crystal. Source: Alexandria via LeMat-Bulk, functional GGA-PBE.

As for the energy of formation from the pure elements: -44.4 kJ per mole of atoms. The value obtained for the total moment is 0.00 μB per cell.

The structure belongs to space group Fmmm (No. 69); the cell edges are 7.254, 9.759 and 16.909 Å and the angles 90.00°, 90.00° and 90.00°. The inequivalent atoms are Ca at (0.246, 0.000, 0.000), Ca at (0.250, 0.250, 0.250), Ga at (0.000, 0.000, 0.333), Hg at (0.000, 0.000, 0.172) and Hg at (0.000, 0.242, 0.414).